The following is a PBE+U calculation of LiV2PdO6 after structural relaxation, from Alexandria via LeMat-Bulk.

Calculated values
Crystal system: monoclinic
Space-group type: C2/c
Calculated density, Mg/m³: 3.631
E_tot, eV/cell: -135.1
V, Å³ per cell: 284.68

Cell: 7.547 7.547 5.988 Å, 112.83 112.83 72.09°
Atoms (fractional coordinates):
Li (0.173, 0.827, 0.750)
Li (0.827, 0.173, 0.250)
V (0.181, 0.391, 0.779)
V (0.391, 0.181, 0.279)
V (0.609, 0.819, 0.721)
V (0.819, 0.609, 0.221)
Pd (0.192, 0.808, 0.250)
Pd (0.808, 0.192, 0.750)
O (0.020, 0.718, 0.374)
O (0.103, 0.642, 0.863)
O (0.282, 0.980, 0.126)
O (0.321, 0.327, 0.565)
O (0.327, 0.321, 0.065)
O (0.358, 0.897, 0.637)
O (0.642, 0.103, 0.363)
O (0.673, 0.679, 0.935)
O (0.679, 0.673, 0.435)
O (0.718, 0.020, 0.874)
O (0.897, 0.358, 0.137)
O (0.980, 0.282, 0.626)